Entry 1:
Density functional theory data (PBE) for Rb4Hg4Pt after structural relaxation. Values from VASP.

Quantum ESPRESSO input file:
```
&SYSTEM
  ibrav = 0, nat = 18, ntyp = 3
/
ATOMIC_SPECIES
Rb 85.47 Rb.upf
Hg 200.59 Hg.upf
Pt 195.08 Pt.upf
CELL_PARAMETERS angstrom
10.4768 0.0000 0.0000
0.0000 10.4768 0.0000
0.0000 0.0000 7.3480
ATOMIC_POSITIONS crystal
Rb 0.0268 0.2500 0.0304
Rb 0.2500 0.0268 0.5304
Rb 0.2500 0.4732 0.5304
Rb 0.4732 0.2500 0.0304
Rb 0.5268 0.7500 0.9696
Rb 0.7500 0.5268 0.4696
Rb 0.7500 0.9732 0.4696
Rb 0.9732 0.7500 0.9696
Hg 0.0359 0.7500 0.4698
Hg 0.2500 0.5359 0.0302
Hg 0.2500 0.9641 0.0302
Hg 0.4641 0.7500 0.4698
Hg 0.5359 0.2500 0.5302
Hg 0.7500 0.0359 0.9698
Hg 0.7500 0.4641 0.9698
Hg 0.9641 0.2500 0.5302
Pt 0.2500 0.7500 0.2500
Pt 0.7500 0.2500 0.7500
```

Computed properties:
- Magnetization: 0.0 μB per formula unit
- Energy of formation: -0.22 eV/atom
- Space group: P4_2/nmc (137)


Entry 2:
Density functional theory data (PBE) for Dy5TlIn4 after structural relaxation. Values from VASP.

Quantum ESPRESSO input file:
```
&SYSTEM
  ibrav = 0, nat = 10, ntyp = 3
/
ATOMIC_SPECIES
Dy 162.50 Dy.upf
Tl 204.38 Tl.upf
In 114.82 In.upf
CELL_PARAMETERS angstrom
3.7398 0.0000 0.0000
0.0000 3.7398 0.0000
0.0000 0.0000 19.1150
ATOMIC_POSITIONS crystal
Dy 0.0000 0.0000 0.0000
Dy 0.0000 0.0000 0.1983
Dy 0.0000 0.0000 0.3976
Dy 0.0000 0.0000 0.6024
Dy 0.0000 0.0000 0.8017
Tl 0.5000 0.5000 0.5000
In 0.5000 0.5000 0.0992
In 0.5000 0.5000 0.2982
In 0.5000 0.5000 0.7018
In 0.5000 0.5000 0.9008
```

Computed properties:
- Magnetization: 0.0 μB per formula unit
- Energy of formation: -0.44 eV/atom
- Space group: P4/mmm (123)


Entry 3:
Density functional theory data (PBE) for Tb2PaCo after structural relaxation. Values from VASP.

Quantum ESPRESSO input file:
```
&SYSTEM
  ibrav = 0, nat = 4, ntyp = 3
/
ATOMIC_SPECIES
Tb 158.93 Tb.upf
Pa 231.04 Pa.upf
Co 58.93 Co.upf
CELL_PARAMETERS angstrom
1.6600 0.9584 10.3175
-1.6600 0.9584 10.3175
0.0000 -1.9168 10.3175
ATOMIC_POSITIONS crystal
Tb 0.1063 0.1063 0.1063
Tb 0.8937 0.8937 0.8937
Pa 0.0000 0.0000 0.0000
Co 0.5000 0.5000 0.5000
```

Computed properties:
- Magnetization: 0.0 μB per formula unit
- Energy of formation: 0.33 eV/atom
- Space group: R-3m (166)


Entry 4:
Density functional theory data (PBE) for Al3TlPt after structural relaxation. Values from VASP.

Quantum ESPRESSO input file:
```
&SYSTEM
  ibrav = 0, nat = 5, ntyp = 3
/
ATOMIC_SPECIES
Al 26.98 Al.upf
Tl 204.38 Tl.upf
Pt 195.08 Pt.upf
CELL_PARAMETERS angstrom
4.8450 0.0000 0.0000
0.0000 4.8450 0.0000
0.0000 0.0000 4.8450
ATOMIC_POSITIONS crystal
Al 0.0000 0.0000 0.5000
Al 0.0000 0.5000 0.0000
Al 0.5000 0.0000 0.0000
Tl 0.5000 0.5000 0.5000
Pt 0.0000 0.0000 0.0000
```

Computed properties:
- Magnetization: 0.0 μB per formula unit
- Energy of formation: -0.19 eV/atom
- Relative energy among the computed polymorphs: 0.0 kJ/mol of atoms
- Space group: Pm-3m (221)


Entry 5:
Density functional theory data (PBE) for Pr8SiPt3Cl4 after structural relaxation. Values from VASP.

Quantum ESPRESSO input file:
```
&SYSTEM
  ibrav = 0, nat = 16, ntyp = 4
/
ATOMIC_SPECIES
Pr 140.91 Pr.upf
Si 28.09 Si.upf
Pt 195.08 Pt.upf
Cl 35.45 Cl.upf
CELL_PARAMETERS angstrom
4.2536 2.4558 7.2596
-4.2536 2.4558 7.2596
0.0000 -4.9116 7.2596
ATOMIC_POSITIONS crystal
Pr 0.2362 0.7421 0.7421
Pr 0.2370 0.2370 0.2370
Pr 0.2579 0.2579 0.7638
Pr 0.2579 0.7638 0.2579
Pr 0.7421 0.2362 0.7421
Pr 0.7421 0.7421 0.2362
Pr 0.7630 0.7630 0.7630
Pr 0.7638 0.2579 0.2579
Si 0.5000 0.5000 0.5000
Pt 0.0000 0.0000 0.5000
Pt 0.0000 0.5000 0.0000
Pt 0.5000 0.0000 0.0000
Cl 0.0000 0.0000 0.0000
Cl 0.0000 0.5000 0.5000
Cl 0.5000 0.0000 0.5000
Cl 0.5000 0.5000 0.0000
```

Computed properties:
- Magnetization: 0.0 μB per formula unit
- Formation energy without anion corrections: -1.255 eV per atom
- Space group: R-3m (166)


Entry 6:
Density functional theory data (PBE) for PmYPdRh after structural relaxation. Values from VASP.

Quantum ESPRESSO input file:
```
&SYSTEM
  ibrav = 0, nat = 4, ntyp = 4
/
ATOMIC_SPECIES
Pm 145.00 Pm.upf
Y 88.91 Y.upf
Pd 106.42 Pd.upf
Rh 102.91 Rh.upf
CELL_PARAMETERS angstrom
0.0000 3.5187 3.5187
3.5187 0.0000 3.5187
3.5187 3.5187 0.0000
ATOMIC_POSITIONS crystal
Pm 0.0000 0.0000 0.0000
Y 0.5000 0.5000 0.5000
Pd 0.2500 0.2500 0.2500
Rh 0.7500 0.7500 0.7500
```

Computed properties:
- Magnetization: 0.0 μB per formula unit
- Energy of formation: -0.79 eV/atom
- Relative energy among the computed polymorphs: 2.3 kJ/mol of atoms
- Space group: F-43m (216)


Copy entry 5 word for word.
Density functional theory data (PBE) for Pr8SiPt3Cl4 after structural relaxation. Values from VASP.

Quantum ESPRESSO input file:
```
&SYSTEM
  ibrav = 0, nat = 16, ntyp = 4
/
ATOMIC_SPECIES
Pr 140.91 Pr.upf
Si 28.09 Si.upf
Pt 195.08 Pt.upf
Cl 35.45 Cl.upf
CELL_PARAMETERS angstrom
4.2536 2.4558 7.2596
-4.2536 2.4558 7.2596
0.0000 -4.9116 7.2596
ATOMIC_POSITIONS crystal
Pr 0.2362 0.7421 0.7421
Pr 0.2370 0.2370 0.2370
Pr 0.2579 0.2579 0.7638
Pr 0.2579 0.7638 0.2579
Pr 0.7421 0.2362 0.7421
Pr 0.7421 0.7421 0.2362
Pr 0.7630 0.7630 0.7630
Pr 0.7638 0.2579 0.2579
Si 0.5000 0.5000 0.5000
Pt 0.0000 0.0000 0.5000
Pt 0.0000 0.5000 0.0000
Pt 0.5000 0.0000 0.0000
Cl 0.0000 0.0000 0.0000
Cl 0.0000 0.5000 0.5000
Cl 0.5000 0.0000 0.5000
Cl 0.5000 0.5000 0.0000
```

Computed properties:
- Magnetization: 0.0 μB per formula unit
- Formation energy without anion corrections: -1.255 eV per atom
- Space group: R-3m (166)


Repeat the fifth record exactly.
Density functional theory data (PBE) for Pr8SiPt3Cl4 after structural relaxation. Values from VASP.

Quantum ESPRESSO input file:
```
&SYSTEM
  ibrav = 0, nat = 16, ntyp = 4
/
ATOMIC_SPECIES
Pr 140.91 Pr.upf
Si 28.09 Si.upf
Pt 195.08 Pt.upf
Cl 35.45 Cl.upf
CELL_PARAMETERS angstrom
4.2536 2.4558 7.2596
-4.2536 2.4558 7.2596
0.0000 -4.9116 7.2596
ATOMIC_POSITIONS crystal
Pr 0.2362 0.7421 0.7421
Pr 0.2370 0.2370 0.2370
Pr 0.2579 0.2579 0.7638
Pr 0.2579 0.7638 0.2579
Pr 0.7421 0.2362 0.7421
Pr 0.7421 0.7421 0.2362
Pr 0.7630 0.7630 0.7630
Pr 0.7638 0.2579 0.2579
Si 0.5000 0.5000 0.5000
Pt 0.0000 0.0000 0.5000
Pt 0.0000 0.5000 0.0000
Pt 0.5000 0.0000 0.0000
Cl 0.0000 0.0000 0.0000
Cl 0.0000 0.5000 0.5000
Cl 0.5000 0.0000 0.5000
Cl 0.5000 0.5000 0.0000
```

Computed properties:
- Magnetization: 0.0 μB per formula unit
- Formation energy without anion corrections: -1.255 eV per atom
- Space group: R-3m (166)